Here is a relaxed structure of NdYLu from Alexandria via LeMat-Bulk. Energies are from GGA-PBE.

Unit cell a=3.573 b=3.573 c=15.179 alpha=90.00 beta=90.00 gamma=90.00
Space group I4mm (No. 107)
One atom of each set of equivalent atoms:
Nd 0.000 0.000 0.000
Y 0.000 0.000 0.671
Lu 0.000 0.000 0.334

Results
* offset from the most stable computed form: 0 meV per atom
* ΔH_f (0 K): 0.09 eV/f.u.
* ρ: 6.99 g cm⁻³
* total energy: -0.19188 Ha/atom